# 1
Compound: ErScGa2Cu5
Source: the Alexandria database
Functional: PBE-GGA
Structure: relaxed

Results
SG: P4/mmm (123)
Density of states at the Fermi level (states/eV per cell): 6.2
ΔH_f (0 K) (kcal/mol of atoms): -3.6
VASP energy (eV/atom): -4.315

Cell lengths 4.017, 4.017, 9.098 Å; angles 90.00, 90.00, 90.00 degrees
Fractional coordinates of all 9 atoms:
Er 0.000 0.000 0.000
Sc 0.000 0.000 0.500
Ga 0.500 0.500 0.366
Ga 0.500 0.500 0.634
Cu 0.000 0.500 0.217
Cu 0.000 0.500 0.783
Cu 0.500 0.000 0.217
Cu 0.500 0.000 0.783
Cu 0.500 0.500 0.000

---

# 2
Compound: VCdRh2
Source: the Alexandria database
Functional: PBE-GGA
Structure: relaxed

Results
SG: P4/mmm (123)
Density of states at the Fermi level (states/eV per cell): 3.3
ΔH_f (0 K) (kcal/mol of atoms): -7.2
VASP energy (eV/atom): -6.498

Cell lengths 2.911, 2.911, 7.259 Å; angles 90.00, 90.00, 90.00 degrees
Fractional coordinates of all 4 atoms:
V 0.000 0.000 0.000
Cd 0.000 0.000 0.500
Rh 0.500 0.500 0.215
Rh 0.500 0.500 0.785

---

# 3
Compound: YSi2Sn2
Source: the Alexandria database
Functional: PBE-GGA
Structure: relaxed

Results
SG: P4/mbm (127)
Density of states at the Fermi level (states/eV per cell): 5.5
Raw formation energy (eV per atom): -0.119
VASP energy (eV/atom): -5.183
Distance to the lowest polymorph of the same formula (meV/atom): 0.0

Cell lengths 7.426, 7.426, 4.061 Å; angles 90.00, 90.00, 90.00 degrees
Fractional coordinates of all 10 atoms:
Y 0.000 0.000 0.000
Y 0.500 0.500 0.000
Si 0.118 0.382 0.000
Si 0.382 0.882 0.000
Si 0.618 0.118 0.000
Si 0.882 0.618 0.000
Sn 0.174 0.674 0.500
Sn 0.326 0.174 0.500
Sn 0.674 0.826 0.500
Sn 0.826 0.326 0.500

---

# 4
Compound: Ca6Tl3In
Source: the Alexandria database
Functional: PBE-GGA
Structure: relaxed

Results
SG: P2_1/m (11)
Density of states at the Fermi level (states/eV per cell): 14.0
ΔH_f (0 K) (kcal/mol of atoms): -8.5
VASP energy (eV/atom): -2.555

Cell lengths 9.573, 5.557, 12.200 Å; angles 90.00, 108.36, 90.00 degrees
Fractional coordinates of all 20 atoms:
Ca 0.025 0.250 0.410
Ca 0.141 0.750 0.175
Ca 0.261 0.250 0.998
Ca 0.347 0.750 0.820
Ca 0.358 0.250 0.317
Ca 0.401 0.250 0.613
Ca 0.599 0.750 0.387
Ca 0.642 0.750 0.683
Ca 0.653 0.250 0.180
Ca 0.739 0.750 0.002
Ca 0.859 0.250 0.825
Ca 0.975 0.750 0.590
Tl 0.037 0.750 0.883
Tl 0.129 0.250 0.714
Tl 0.274 0.750 0.470
Tl 0.726 0.250 0.530
Tl 0.871 0.750 0.286
Tl 0.963 0.250 0.117
In 0.445 0.750 0.118
In 0.555 0.250 0.882

---

# 5
Compound: LaNbSe2Br
Source: the Alexandria database
Functional: PBE-GGA
Structure: relaxed

Results
SG: P4/mmm (123)
Density of states at the Fermi level (states/eV per cell): 6.1
Raw formation energy (eV per atom): -0.790
VASP energy (eV/atom): -5.518
Distance to the lowest polymorph of the same formula (meV/atom): 0.0

Cell lengths 5.061, 5.061, 5.112 Å; angles 90.00, 90.00, 90.00 degrees
Fractional coordinates of all 5 atoms:
La 0.000 0.000 0.000
Nb 0.500 0.500 0.500
Se 0.000 0.500 0.500
Se 0.500 0.000 0.500
Br 0.500 0.500 0.000

---

# 6
Compound: Sr2EuBi
Source: the Alexandria database
Functional: PBE-GGA
Structure: relaxed

Results
SG: P4/mmm (123)
Density of states at the Fermi level (states/eV per cell): 2.6
ΔH_f (0 K) (kcal/mol of atoms): -9.9
VASP energy (eV/atom): -4.808
Distance to the lowest polymorph of the same formula (meV/atom): 0.0

Cell lengths 5.394, 5.394, 5.326 Å; angles 90.00, 90.00, 90.00 degrees
Fractional coordinates of all 4 atoms:
Sr 0.000 0.500 0.000
Sr 0.500 0.000 0.000
Eu 0.000 0.000 0.500
Bi 0.500 0.500 0.500